[1]
ErPaFe2: relaxed, PBE-GGA. Values from VASP.

The structure in Quantum ESPRESSO input format:
```
&SYSTEM
  ibrav = 0, nat = 16, ntyp = 3
/
ATOMIC_SPECIES
Er 167.26 Er.upf
Fe 55.84 Fe.upf
Pa 231.04 Pa.upf
CELL_PARAMETERS angstrom
-3.2450 2.0139 -0.6204
-3.7995 -6.6569 -1.7365
-2.5055 -1.0767 9.6094
ATOMIC_POSITIONS angstrom
Er -4.6390 -4.1398 4.7925
Fe -5.7944 -5.1351 7.6049
Er -4.9110 -1.5798 2.4599
Pa -7.5758 -5.4204 3.9310
Fe -4.2308 -4.4365 1.6944
Er -6.1729 -4.6342 -0.8545
Fe -1.9938 -0.9631 1.2693
Fe -6.5740 -4.3078 2.3027
Fe -7.5561 -4.7565 5.9831
Fe -3.7555 -0.5845 -0.3525
Fe -5.3192 -1.2831 5.5581
Pa -3.2591 -3.3635 0.0954
Pa -6.2909 -2.3562 7.1570
Pa -1.9741 -0.2992 3.3214
Er -3.3770 -1.0854 8.1069
Fe -2.9760 -1.4119 4.9497
```

Values from the calculation:
Theoretical density in g/cm³: 11.2
D(E_F) in states/eV/atom: 0.7965
Polymorph energy (0 for the lowest one) in eV/atom: 0.0000
Total magnetic moment in μB/f.u.: 0.0

---

[2]
CuC: relaxed, PBE-GGA. Values from VASP.

The structure in Quantum ESPRESSO input format:
```
&SYSTEM
  ibrav = 0, nat = 4, ntyp = 2
/
ATOMIC_SPECIES
C 12.01 C.upf
Cu 63.55 Cu.upf
CELL_PARAMETERS angstrom
-4.3921 1.8237 3.6117
-5.9246 0.6826 0.3069
5.1074 -2.9186 -1.0284
ATOMIC_POSITIONS angstrom
C -9.2974 2.2587 3.5315
Cu -2.6096 -0.5833 0.4753
C -3.2409 0.3267 2.6585
Cu -5.5366 1.3450 2.1030
```

Values from the calculation:
Theoretical density in g/cm³: 6.2
D(E_F) in states/eV/atom: 0.2362
Polymorph energy (0 for the lowest one) in eV/atom: 0.7402
Total magnetic moment in μB/f.u.: 0.0

---

[3]
Ce2YGaN5: relaxed, PBE-GGA. Values from VASP.

The structure in Quantum ESPRESSO input format:
```
&SYSTEM
  ibrav = 0, nat = 18, ntyp = 4
/
ATOMIC_SPECIES
N 14.01 N.upf
Ce 140.12 Ce.upf
Ga 69.72 Ga.upf
Y 88.91 Y.upf
CELL_PARAMETERS angstrom
3.4418 0.0000 0.0000
-1.7209 6.8793 0.0000
0.0000 0.0000 10.5873
ATOMIC_POSITIONS angstrom
N 1.7209 2.7594 8.8334
Ce 1.7209 5.1444 1.9972
N 0.0000 4.9940 0.3492
N 0.0000 4.1199 3.5398
Ga 1.7209 0.0192 10.4381
N 1.7209 0.0743 3.1460
N 1.7209 6.3072 5.9500
N 1.7209 2.7624 1.6478
N 0.0000 4.1169 6.9415
Y 0.0000 2.8021 10.4801
N 0.0000 6.8050 8.4397
N 0.0000 0.5721 0.6563
N 1.7209 1.8853 5.6429
Ce 1.7209 5.1219 8.2313
Y 1.7209 4.0772 5.1864
Ce 0.0000 1.7573 2.9376
Ce 0.0000 1.7349 7.2909
Ga 0.0000 6.8600 5.1445
```

Values from the calculation:
Theoretical density in g/cm³: 6.7
D(E_F) in states/eV/atom: 0.7070
Total magnetic moment in μB/f.u.: 0.0
Energy relative to the elements, uncorrected in eV per formula unit: -8.46

---

[4]
Tl8PbAu2: relaxed, PBE-GGA. Values from VASP.

The structure in Quantum ESPRESSO input format:
```
&SYSTEM
  ibrav = 0, nat = 11, ntyp = 3
/
ATOMIC_SPECIES
Au 196.97 Au.upf
Tl 204.38 Tl.upf
Pb 207.20 Pb.upf
CELL_PARAMETERS angstrom
0.4240 -5.5165 -2.5855
9.2089 -3.4411 -1.4467
6.6751 -6.1846 3.9914
ATOMIC_POSITIONS angstrom
Au 11.4110 -8.7209 0.9171
Tl 10.9528 -5.6619 0.3181
Tl 2.9411 -4.1979 -0.7475
Pb 0.0000 0.0000 0.0000
Tl 6.5765 -8.1579 -2.9802
Au 4.8969 -6.4214 -0.9579
Tl 5.3552 -9.4803 -0.3589
Tl 13.3669 -10.9443 0.7066
Tl 9.7315 -6.9844 2.9394
Tl 7.4271 -6.1122 0.3769
Tl 8.8809 -9.0300 -0.4177
```

Values from the calculation:
Theoretical density in g/cm³: 11.1
D(E_F) in states/eV/atom: 0.3351
VASP energy in eV per atom: -2.6265
Total magnetic moment in μB/f.u.: 0.0

---

[5]
ScP2Br: relaxed, PBE-GGA. Values from VASP.

The structure in Quantum ESPRESSO input format:
```
&SYSTEM
  ibrav = 0, nat = 4, ntyp = 3
/
ATOMIC_SPECIES
P 30.97 P.upf
Sc 44.96 Sc.upf
Br 79.90 Br.upf
CELL_PARAMETERS angstrom
-0.8606 -0.0182 5.9456
4.1440 -1.1095 4.2056
-1.0340 3.1978 -4.9796
ATOMIC_POSITIONS angstrom
P 0.0000 0.0000 0.0000
P 2.3759 0.7622 2.1508
Sc 1.6417 -0.5639 5.0756
Br -0.1264 1.3078 3.0208
```

Values from the calculation:
Theoretical density in g/cm³: 4.0
D(E_F) in states/eV/atom: 0.4423
Polymorph energy (0 for the lowest one) in eV/atom: 0.8283
Total magnetic moment in μB/f.u.: 0.0
Energy relative to the elements, uncorrected in eV per formula unit: -0.04

---

[6]
La2TbNdDy5: relaxed, PBE-GGA. Values from VASP.

The structure in Quantum ESPRESSO input format:
```
&SYSTEM
  ibrav = 0, nat = 18, ntyp = 4
/
ATOMIC_SPECIES
Dy 162.50 Dy.upf
La 138.91 La.upf
Tb 158.93 Tb.upf
Nd 144.24 Nd.upf
CELL_PARAMETERS angstrom
8.6475 0.0000 0.0000
0.0000 8.6475 0.0000
-4.3237 -4.3237 7.9718
ATOMIC_POSITIONS angstrom
Dy 6.7985 2.4748 2.2560
Dy 2.4748 1.8490 2.2560
La 3.2980 7.6217 0.0000
Tb 0.0000 0.0000 3.9859
Dy 6.1727 6.7985 2.2560
Dy 1.8490 6.1727 2.2560
Dy -2.4748 1.8490 5.7157
Dy -1.8490 -2.4748 5.7157
La 7.6217 5.3495 0.0000
La 1.0258 3.2980 0.0000
Dy 1.8490 2.4748 5.7157
La 5.3495 1.0258 0.0000
Tb 4.3237 4.3237 3.9859
Nd 4.3237 0.0000 3.9859
Nd 0.0000 4.3237 3.9859
Dy 4.3237 4.3237 0.0000
Dy 2.4748 -1.8490 5.7157
Dy 0.0000 0.0000 0.0000
```

Values from the calculation:
Theoretical density in g/cm³: 7.8
D(E_F) in states/eV/atom: 1.3597
VASP energy in eV per atom: -4.4499
Total magnetic moment in μB/f.u.: 0.0

---

[7]
LiLa2Co2: relaxed, PBE-GGA. Values from VASP.

The structure in Quantum ESPRESSO input format:
```
&SYSTEM
  ibrav = 0, nat = 10, ntyp = 3
/
ATOMIC_SPECIES
La 138.91 La.upf
Co 58.93 Co.upf
Li 6.94 Li.upf
CELL_PARAMETERS angstrom
7.4375 0.0000 0.0000
0.0000 7.4375 0.0000
0.0000 0.0000 3.9514
ATOMIC_POSITIONS angstrom
La 6.0855 2.3667 1.9757
Co 4.5185 0.7998 0.0000
Li 3.7188 3.7188 0.0000
La 2.3667 1.3520 1.9757
Li 0.0000 0.0000 0.0000
Co 2.9190 6.6378 0.0000
La 5.0708 6.0855 1.9757
Co 6.6378 4.5185 0.0000
La 1.3520 5.0708 1.9757
Co 0.7998 2.9190 0.0000
```

Values from the calculation:
Theoretical density in g/cm³: 6.1
D(E_F) in states/eV/atom: 1.1170
VASP energy in eV per atom: -5.1743
Total magnetic moment in μB/f.u.: 1.0

---

[8]
LaDy2Tl: relaxed, PBE-GGA. Values from VASP.

The structure in Quantum ESPRESSO input format:
```
&SYSTEM
  ibrav = 0, nat = 4, ntyp = 3
/
ATOMIC_SPECIES
Dy 162.50 Dy.upf
Tl 204.38 Tl.upf
La 138.91 La.upf
CELL_PARAMETERS angstrom
-3.4782 -1.0539 -0.5221
1.0041 -3.5096 0.3948
-1.5262 0.5762 9.0043
ATOMIC_POSITIONS angstrom
Dy -0.3382 0.1277 1.9953
Tl -1.2370 -2.2817 -0.0637
La -2.0002 -1.9936 4.4385
Dy -1.1880 0.4485 7.0090
```

Values from the calculation:
Theoretical density in g/cm³: 9.0
D(E_F) in states/eV/atom: 1.1224
Polymorph energy (0 for the lowest one) in eV/atom: 0.0088
Total magnetic moment in μB/f.u.: 0.0

---

[9]
Er5Te2Au: relaxed, PBE-GGA. Values from VASP.

The structure in Quantum ESPRESSO input format:
```
&SYSTEM
  ibrav = 0, nat = 16, ntyp = 3
/
ATOMIC_SPECIES
Er 167.26 Er.upf
Te 127.60 Te.upf
Au 196.97 Au.upf
CELL_PARAMETERS angstrom
-1.8582 -3.4249 4.4113
-1.0523 -2.5899 -6.3806
11.4575 -5.6803 0.4161
ATOMIC_POSITIONS angstrom
Er 1.4145 -4.2634 1.2123
Te 5.9247 -4.9755 -1.3673
Er 7.1326 -7.4317 -2.7655
Er 4.2240 -2.6358 -0.2672
Er 7.4485 -10.6087 -1.1725
Au 1.9429 -3.4209 -1.8376
Er 3.2960 -5.7502 -3.0761
Er -0.6538 -3.7920 -3.2195
Er 5.2510 -5.9449 1.5229
Te -1.1862 -4.8315 -0.3242
Er 4.3231 -9.0592 -1.2860
Au 6.6042 -8.2742 0.2844
Er 9.2009 -7.9031 1.6663
Te 2.6224 -6.7196 -0.1859
Er 1.0986 -1.0864 -0.3807
Te 9.7332 -6.8636 -1.2290
```

Values from the calculation:
Theoretical density in g/cm³: 9.0
D(E_F) in states/eV/atom: 1.0502
Total magnetic moment in μB/f.u.: 0.0
Energy relative to the elements, uncorrected in eV per formula unit: -4.86

---

[10]
HgPBr3: relaxed, PBE-GGA. Values from VASP.

The structure in Quantum ESPRESSO input format:
```
&SYSTEM
  ibrav = 0, nat = 5, ntyp = 3
/
ATOMIC_SPECIES
Br 79.90 Br.upf
P 30.97 P.upf
Hg 200.59 Hg.upf
CELL_PARAMETERS angstrom
5.5244 0.0000 0.0000
0.0000 5.5244 0.0000
0.0000 0.0000 5.5244
ATOMIC_POSITIONS angstrom
Br 0.0000 0.0000 2.7622
P 2.7622 2.7622 2.7622
Br 2.7622 0.0000 0.0000
Hg 0.0000 0.0000 0.0000
Br 0.0000 2.7622 0.0000
```

Values from the calculation:
Theoretical density in g/cm³: 4.6
D(E_F) in states/eV/atom: 1.7741
Polymorph energy (0 for the lowest one) in eV/atom: 0.8381
Total magnetic moment in μB/f.u.: 2.1
Energy relative to the elements, uncorrected in eV per formula unit: 2.78

---

[11]
Ta3ReSi: relaxed, PBE-GGA. Values from VASP.

The structure in Quantum ESPRESSO input format:
```
&SYSTEM
  ibrav = 0, nat = 5, ntyp = 3
/
ATOMIC_SPECIES
Ta 180.95 Ta.upf
Si 28.09 Si.upf
Re 186.21 Re.upf
CELL_PARAMETERS angstrom
4.5641 0.0000 0.0000
0.0000 4.5641 0.0000
0.0000 0.0000 4.5641
ATOMIC_POSITIONS angstrom
Ta 0.0000 0.0000 2.2821
Si 0.0000 0.0000 0.0000
Re 2.2821 2.2821 2.2821
Ta 2.2821 0.0000 0.0000
Ta 0.0000 2.2821 0.0000
```

Values from the calculation:
Theoretical density in g/cm³: 13.2
D(E_F) in states/eV/atom: 1.0710
Polymorph energy (0 for the lowest one) in eV/atom: 0.0000
Total magnetic moment in μB/f.u.: 0.3
Energy relative to the elements, uncorrected in eV per formula unit: 5.14

---

[12]
InTcCl2: relaxed, PBE-GGA. Values from VASP.

The structure in Quantum ESPRESSO input format:
```
&SYSTEM
  ibrav = 0, nat = 4, ntyp = 3
/
ATOMIC_SPECIES
Cl 35.45 Cl.upf
In 114.82 In.upf
Tc 98.00 Tc.upf
CELL_PARAMETERS angstrom
9.5441 -0.1324 -0.0779
8.9683 3.2675 -0.0779
8.9683 1.5188 2.8941
ATOMIC_POSITIONS angstrom
Cl 12.8654 2.1788 1.2820
In 6.8702 1.1635 0.6846
Tc 20.6105 3.4904 2.0537
Cl 0.8749 0.1482 0.0872
```

Values from the calculation:
Theoretical density in g/cm³: 4.9
D(E_F) in states/eV/atom: 1.0304
Polymorph energy (0 for the lowest one) in eV/atom: 0.2910
Total magnetic moment in μB/f.u.: 1.0
Energy relative to the elements, uncorrected in eV per formula unit: 0.04